# TaBeAu | OQMD via LeMat-Bulk | PBE | relaxed
data_TaBeAu
_chemical_formula_sum 'Ta4 Be4 Au4'
_space_group_name_H-M_alt 'C m c m'
_space_group_IT_number 63
_space_group_name_Hall '-C 2c 2'
_cell_length_a 3.451
_cell_length_b 14.620
_cell_length_c 3.420
_cell_angle_alpha 90.00
_cell_angle_beta 90.00
_cell_angle_gamma 90.00
loop_
_atom_site_label
_atom_site_type_symbol
_atom_site_fract_x
_atom_site_fract_y
_atom_site_fract_z
_atom_site_occupancy
Ta1 Ta 0.000 0.087 0.250 1
Be1 Be 0.000 0.463 0.250 1
Au1 Au 0.000 0.302 0.250 1
# Energy above the most stable polymorph in this dataset   0 meV/atom